## InCuBi2S5 (GGA-PBE)

Data for a relaxed InCuBi2S5 crystal.

Uncorrected formation energy   -368 meV per atom
E_tot   -4.282 eV per atom
Size of the total moment   0.00 Bohr magnetons per cell
Symmetry   Cmc2_1, No. 36

```
18
Lattice="3.917 0.000 0.000 -1.959 8.495 0.000 0.000 0.000 12.603" Properties=species:S:1:pos:R:3 pbc="T T T"
Bi 0.000 1.683 3.132
S 0.000 6.220 0.622
Bi 0.000 2.428 8.798
S 1.959 7.559 6.851
S 1.959 3.521 1.835
S 0.000 0.936 0.549
S 1.959 2.276 6.923
Cu 1.959 0.070 6.119
In 1.959 5.001 6.205
In 0.000 3.495 12.506
S 0.000 8.442 3.810
S 0.000 4.974 8.137
Bi 1.959 6.812 9.434
S 1.959 3.749 10.822
Bi 1.959 6.067 2.497
Cu 0.000 8.425 12.420
S 1.959 0.053 10.112
S 0.000 4.746 4.520
```